Entry 1:
Material: Tb2PmPr2Er
Method: DFT, PBE-GGA
State: relaxed

abc: 5.720 9.933 7.052
angles: 90.00 90.00 90.00
Positions (direct):
Tb (0.000, 0.165, 0.000)
Tb (0.000, 0.835, 0.500)
Tb (0.500, 0.333, 0.501)
Tb (0.500, 0.667, 0.001)
Pm (0.000, 0.500, 0.250)
Pm (0.000, 0.500, 0.750)
Pr (0.000, 0.171, 0.500)
Pr (0.000, 0.829, 0.000)
Pr (0.500, 0.000, 0.250)
Pr (0.500, 0.000, 0.750)
Er (0.500, 0.337, 0.000)
Er (0.500, 0.663, 0.500)

Values from the calculation:
D(E_F) = 1.461 states/eV/atom
Crystal system = orthorhombic
Total magnetic moment = 0.0 μB/f.u.
DFT formation energy = 0.065 eV/atom
Density = 7.56 g/cm³

***

Entry 2:
Material: Al2AsRu
Method: DFT, PBE-GGA
State: relaxed

abc: 4.690 4.690 4.511
angles: 95.90 95.90 38.11
Positions (direct):
Al (0.000, 0.000, 0.000)
Al (0.238, 0.238, 0.724)
As (0.478, 0.478, 0.473)
Ru (0.740, 0.740, 0.210)

Values from the calculation:
D(E_F) = 0.386 states/eV/atom
Crystal system = monoclinic
Total magnetic moment = 0.0 μB/f.u.
DFT formation energy = -0.236 eV/atom
Density = 6.27 g/cm³

***

Entry 3:
Material: KCd3Mo
Method: DFT, PBE-GGA
State: relaxed

abc: 5.502 5.502 5.502
angles: 90.00 90.00 90.00
Positions (direct):
K (0.000, 0.000, 0.000)
Cd (0.000, 0.500, 0.500)
Cd (0.500, 0.000, 0.500)
Cd (0.500, 0.500, 0.000)
Mo (0.500, 0.500, 0.500)

Values from the calculation:
ΔE to the lowest computed polymorph = 0.0000 eV/atom
D(E_F) = 0.757 states/eV/atom
Crystal system = cubic
Total magnetic moment = 2.8 μB/f.u.
DFT formation energy = 0.594 eV/atom
Density = 4.71 g/cm³

***

Entry 4:
Material: V2Ru5W
Method: DFT, PBE-GGA
State: relaxed

abc: 5.316 10.349 4.167
angles: 90.00 90.00 90.00
Positions (direct):
V (0.155, 0.145, 0.000)
V (0.345, 0.645, 0.000)
V (0.655, 0.355, 0.000)
V (0.845, 0.855, 0.000)
Ru (0.000, 0.000, 0.500)
Ru (0.122, 0.734, 0.500)
Ru (0.187, 0.390, 0.000)
Ru (0.313, 0.890, 0.000)
Ru (0.378, 0.234, 0.500)
Ru (0.500, 0.500, 0.500)
Ru (0.622, 0.766, 0.500)
Ru (0.687, 0.110, 0.000)
Ru (0.813, 0.610, 0.000)
Ru (0.878, 0.266, 0.500)
W (0.000, 0.500, 0.500)
W (0.500, 0.000, 0.500)

Values from the calculation:
D(E_F) = 0.591 states/eV/atom
Crystal system = orthorhombic
Total magnetic moment = 0.0 μB/f.u.
DFT formation energy = -0.116 eV/atom
Density = 11.46 g/cm³